No. 1
# Np2SiAs | the Alexandria database | PBE | optimized geometry
data_Np2SiAs
_chemical_formula_sum 'Np2 Si1 As1'
_space_group_name_H-M_alt 'P 4/m m m'
_space_group_IT_number 123
_space_group_name_Hall '-P 4 2'
_cell_length_a 3.3573
_cell_length_b 3.3573
_cell_length_c 7.3412
_cell_angle_alpha 90.00
_cell_angle_beta 90.00
_cell_angle_gamma 90.00
loop_
_atom_site_label
_atom_site_fract_x
_atom_site_fract_y
_atom_site_fract_z
Np1 0.0000 0.0000 0.2477
Si1 0.5000 0.5000 0.5000
As1 0.5000 0.5000 0.0000
# total magnetic moment: 7.76 μB per cell
# energy above the most stable polymorph in this dataset: 0 meV per atom
# E_form (uncorrected): -0.259 eV/atom
# calculated total energy: -0.6797 Ry per atom


No. 2
# Np2SiAs | the Alexandria database | PBE | optimized geometry
data_Np2SiAs
_chemical_formula_sum 'Np6 Si3 As3'
_space_group_name_H-M_alt 'R -3 m'
_space_group_IT_number 166
_space_group_name_Hall '-R 3 2"'
_cell_length_a 2.9536
_cell_length_b 2.9536
_cell_length_c 30.4499
_cell_angle_alpha 90.00
_cell_angle_beta 90.00
_cell_angle_gamma 120.00
loop_
_atom_site_label
_atom_site_fract_x
_atom_site_fract_y
_atom_site_fract_z
Np1 0.0000 0.0000 0.2488
Si1 0.0000 0.0000 0.5000
As1 0.0000 0.0000 0.0000
# total magnetic moment: 20.46 μB per cell
# energy above the most stable polymorph in this dataset: 286 meV per atom
# E_form (uncorrected): 0.027 eV/atom
# calculated total energy: -0.6587 Ry per atom


No. 3
# NpSi2As | the Alexandria database | PBE | optimized geometry
data_NpSi2As
_chemical_formula_sum 'Np1 Si2 As1'
_space_group_name_H-M_alt 'P 4/m m m'
_space_group_IT_number 123
_space_group_name_Hall '-P 4 2'
_cell_length_a 4.0365
_cell_length_b 4.0365
_cell_length_c 4.2074
_cell_angle_alpha 90.00
_cell_angle_beta 90.00
_cell_angle_gamma 90.00
loop_
_atom_site_label
_atom_site_fract_x
_atom_site_fract_y
_atom_site_fract_z
Np1 0.0000 0.0000 0.0000
Si1 0.0000 0.5000 0.5000
As1 0.5000 0.5000 0.0000
# total magnetic moment: 2.57 μB per cell
# E_form (uncorrected): -0.236 eV/atom
# calculated total energy: -0.5398 Ry per atom


No. 4
# NpSiAs2 | the Alexandria database | PBE | optimized geometry
data_NpSiAs2
_chemical_formula_sum 'Np2 Si2 As4'
_space_group_name_H-M_alt 'A m m 2'
_space_group_IT_number 38
_space_group_name_Hall 'A 2 -2'
_cell_length_a 2.7924
_cell_length_b 8.6114
_cell_length_c 6.5746
_cell_angle_alpha 90.00
_cell_angle_beta 90.00
_cell_angle_gamma 90.00
loop_
_atom_site_label
_atom_site_fract_x
_atom_site_fract_y
_atom_site_fract_z
Np1 0.0000 0.0000 0.0000
Si1 0.5000 0.0000 0.3956
As1 0.5000 0.1992 0.6584
# total magnetic moment: 7.67 μB per cell
# energy above the most stable polymorph in this dataset: 78 meV per atom
# E_form (uncorrected): -0.189 eV/atom
# calculated total energy: -0.5222 Ry per atom


No. 5
# NpSiAs2 | the Alexandria database | PBE | optimized geometry
data_NpSiAs2
_chemical_formula_sum 'Np3 Si3 As6'
_space_group_name_H-M_alt 'R -3 m'
_space_group_IT_number 166
_space_group_name_Hall '-R 3 2"'
_cell_length_a 3.3198
_cell_length_b 3.3198
_cell_length_c 27.0484
_cell_angle_alpha 90.00
_cell_angle_beta 90.00
_cell_angle_gamma 120.00
loop_
_atom_site_label
_atom_site_fract_x
_atom_site_fract_y
_atom_site_fract_z
Np1 0.0000 0.0000 0.0000
Si1 0.0000 0.0000 0.5000
As1 0.0000 0.0000 0.1077
# total magnetic moment: 13.37 μB per cell
# energy above the most stable polymorph in this dataset: 602 meV per atom
# E_form (uncorrected): 0.334 eV/atom
# calculated total energy: -0.4837 Ry per atom


No. 6
# NpSiAs2 | the Alexandria database | PBE | optimized geometry
data_NpSiAs2
_chemical_formula_sum 'Np1 Si1 As2'
_space_group_name_H-M_alt 'P 4/m m m'
_space_group_IT_number 123
_space_group_name_Hall '-P 4 2'
_cell_length_a 4.3018
_cell_length_b 4.3018
_cell_length_c 3.9733
_cell_angle_alpha 90.00
_cell_angle_beta 90.00
_cell_angle_gamma 90.00
loop_
_atom_site_label
_atom_site_fract_x
_atom_site_fract_y
_atom_site_fract_z
Np1 0.0000 0.0000 0.0000
Si1 0.5000 0.5000 0.0000
As1 0.0000 0.5000 0.5000
# total magnetic moment: 2.98 μB per cell
# energy above the most stable polymorph in this dataset: 0 meV per atom
# E_form (uncorrected): -0.267 eV/atom
# calculated total energy: -0.5279 Ry per atom


No. 7
# SmNpAs2 | the Alexandria database | PBE | optimized geometry
data_SmNpAs2
_chemical_formula_sum 'Sm3 Np3 As6'
_space_group_name_H-M_alt 'R -3 m'
_space_group_IT_number 166
_space_group_name_Hall '-R 3 2"'
_cell_length_a 4.1482
_cell_length_b 4.1482
_cell_length_c 20.4598
_cell_angle_alpha 90.00
_cell_angle_beta 90.00
_cell_angle_gamma 120.00
loop_
_atom_site_label
_atom_site_fract_x
_atom_site_fract_y
_atom_site_fract_z
Sm1 0.0000 0.0000 0.0000
Np1 0.0000 0.0000 0.5000
As1 0.0000 0.0000 0.2469
# total magnetic moment: 11.46 μB per cell
# energy above the most stable polymorph in this dataset: 0 meV per atom
# calculated total energy: -0.5762 Ry per atom


No. 8
# Sm2NpAs3 | the Alexandria database | PBE | optimized geometry
data_Sm2NpAs3
_chemical_formula_sum 'Sm4 Np2 As6'
_space_group_name_H-M_alt 'I 4/m m m'
_space_group_IT_number 139
_space_group_name_Hall '-I 4 2'
_cell_length_a 4.1793
_cell_length_b 4.1793
_cell_length_c 17.6872
_cell_angle_alpha 90.00
_cell_angle_beta 90.00
_cell_angle_gamma 90.00
loop_
_atom_site_label
_atom_site_fract_x
_atom_site_fract_y
_atom_site_fract_z
Sm1 0.0000 0.0000 0.1677
Np1 0.0000 0.0000 0.5000
As1 0.0000 0.0000 0.0000
As2 0.0000 0.0000 0.3360
# total magnetic moment: 7.63 μB per cell
# calculated total energy: -0.5358 Ry per atom


No. 9
# SmNp3As4 | the Alexandria database | PBE | optimized geometry
data_SmNp3As4
_chemical_formula_sum 'Sm1 Np3 As4'
_space_group_name_H-M_alt 'P m -3 m'
_space_group_IT_number 221
_space_group_name_Hall '-P 4 2 3'
_cell_length_a 5.8471
_cell_length_b 5.8471
_cell_length_c 5.8471
_cell_angle_alpha 90.00
_cell_angle_beta 90.00
_cell_angle_gamma 90.00
loop_
_atom_site_label
_atom_site_fract_x
_atom_site_fract_y
_atom_site_fract_z
Sm1 0.0000 0.0000 0.0000
Np1 0.0000 0.5000 0.5000
As1 0.0000 0.0000 0.5000
As2 0.5000 0.5000 0.5000
# total magnetic moment: 11.77 μB per cell
# calculated total energy: -0.6363 Ry per atom


No. 10
# Sm3NpAs4 | the Alexandria database | PBE | optimized geometry
data_Sm3NpAs4
_chemical_formula_sum 'Sm6 Np2 As8'
_space_group_name_H-M_alt 'C m m m'
_space_group_IT_number 65
_space_group_name_Hall '-C 2 2'
_cell_length_a 8.3893
_cell_length_b 11.8265
_cell_length_c 4.1793
_cell_angle_alpha 90.00
_cell_angle_beta 90.00
_cell_angle_gamma 90.00
loop_
_atom_site_label
_atom_site_fract_x
_atom_site_fract_y
_atom_site_fract_z
Sm1 0.0000 0.0000 0.0000
Sm2 0.2500 0.2500 0.5000
Np1 0.0000 0.5000 0.0000
As1 0.0000 0.2542 0.0000
As2 0.2438 0.5000 0.5000
# total magnetic moment: 7.51 μB per cell
# calculated total energy: -0.5160 Ry per atom


No. 11
# SmNpAs2 | the Alexandria database | PBE | optimized geometry
data_SmNpAs2
_chemical_formula_sum 'Sm3 Np3 As6'
_space_group_name_H-M_alt 'R 3 m'
_space_group_IT_number 160
_space_group_name_Hall 'R 3 -2"'
_cell_length_a 4.1151
_cell_length_b 4.1151
_cell_length_c 21.2432
_cell_angle_alpha 90.00
_cell_angle_beta 90.00
_cell_angle_gamma 120.00
loop_
_atom_site_label
_atom_site_fract_x
_atom_site_fract_y
_atom_site_fract_z
Sm1 0.0000 0.0000 0.0000
Np1 0.0000 0.0000 0.8283
As1 0.0000 0.0000 0.2432
As2 0.0000 0.0000 0.4180
# total magnetic moment: 11.77 μB per cell
# energy above the most stable polymorph in this dataset: 146 meV per atom
# calculated total energy: -0.5655 Ry per atom


No. 12
# Sm4NpAs5 | the Alexandria database | PBE | optimized geometry
data_Sm4NpAs5
_chemical_formula_sum 'Sm8 Np2 As10'
_space_group_name_H-M_alt 'I 4/m'
_space_group_IT_number 87
_space_group_name_Hall '-I 4'
_cell_length_a 9.3689
_cell_length_b 9.3689
_cell_length_c 5.9245
_cell_angle_alpha 90.00
_cell_angle_beta 90.00
_cell_angle_gamma 90.00
loop_
_atom_site_label
_atom_site_fract_x
_atom_site_fract_y
_atom_site_fract_z
Sm1 0.0984 0.6992 0.0000
Np1 0.0000 0.0000 0.5000
As1 0.0000 0.0000 0.0000
As2 0.0973 0.7063 0.5000
# total magnetic moment: 7.37 μB per cell
# calculated total energy: -0.5041 Ry per atom